--- one ---
Material: AlTlP2
Method: DFT, PBE
State: relaxed

space-group type = No. 139

Cell lengths 4.700, 4.700, 4.700 Å; angles 110.66, 110.66, 107.12 degrees
Positions (direct):
1 Al 0.000 0.000 0.000
2 Tl 0.500 0.500 0.000
3 P 0.000 0.500 0.500
4 P 0.500 0.000 0.500

=====

--- two ---
Material: AlTlP2
Method: DFT, PBE
State: relaxed

space-group type = No. 123

Cell lengths 3.389, 3.389, 7.197 Å; angles 90.00, 90.00, 90.00 degrees
Positions (direct):
1 Al 0.000 0.000 0.000
2 Tl 0.000 0.000 0.500
3 P 0.500 0.500 0.156
4 P 0.500 0.500 0.844

=====

--- three ---
Material: AlTlP2
Method: DFT, PBE
State: relaxed

space-group type = No. 6

Cell lengths 3.932, 3.343, 6.640 Å; angles 90.00, 96.73, 90.00 degrees
Positions (direct):
1 Al 0.000 0.000 0.000
2 Tl 0.010 0.500 0.409
3 P 0.466 0.500 0.941
4 P 0.579 0.000 0.702

=====

--- four ---
Material: AlTlP2
Method: DFT, PBE
State: relaxed

space-group type = No. 12

Cell lengths 4.887, 4.887, 6.013 Å; angles 100.66, 100.66, 38.62 degrees
Positions (direct):
1 Al 0.000 0.000 0.000
2 Tl 0.500 0.500 0.500
3 P 0.287 0.287 0.879
4 P 0.713 0.713 0.121

=====

Relative energy table, unit kJ/mol of atoms: one 23.8; two 0.0; three 3.1; four 5.5

=====

--- one ---
Material: AlTlP2
Method: DFT, PBE
State: relaxed

space-group type = No. 123

Cell lengths 4.646, 4.646, 3.548 Å; angles 90.00, 90.00, 90.00 degrees
Positions (direct):
1 Al 0.000 0.000 0.000
2 Tl 0.500 0.500 0.000
3 P 0.000 0.500 0.500
4 P 0.500 0.000 0.500

=====

--- two ---
Material: AlTlP2
Method: DFT, PBE
State: relaxed

space-group type = No. 160

Cell lengths 9.111, 9.111, 9.111 Å; angles 20.88, 20.88, 20.88 degrees
Positions (direct):
1 Al 0.000 0.000 0.000
2 Tl 0.762 0.762 0.762
3 P 0.257 0.257 0.257
4 P 0.543 0.543 0.543

=====

Relative energy table, unit kJ/mol of atoms: one 34.1; two 0.0